MnPt3: relaxed, PBE-GGA.

Calculated formation energy (meV per atom): -225
Total magnetization (μB per formula unit): 4.7

a = 2.8247 Å, b = 4.5713 Å, c = 4.7752 Å
α = 90.00°, β = 90.00°, γ = 90.00°
Each line ends with the local moment (μB).
Fractional coordinates of all 4 atoms:
Pt (0.0000, 0.5000, 0.3388)  0.23
Pt (0.5000, 0.0000, 0.4918)  0.23
Mn (0.0000, 0.0000, 0.9971)  3.86
Pt (0.5000, 0.5000, 0.8390)  0.26